Ti3TlH | PBE | relaxed

The structure in POSCAR format:
```
Ti3TlH
1.0
4.763 0.000 0.000
-2.381 4.125 0.000
0.000 0.000 8.064
Ti Tl H
6 2 2
Cartesian
0.000 0.000 2.016
0.000 0.000 6.048
0.000 2.750 0.780
0.000 2.750 3.252
2.381 1.375 4.812
2.381 1.375 7.284
0.000 2.750 6.048
2.381 1.375 2.016
0.000 0.000 0.000
0.000 0.000 4.032
```

Results
Electronic total energy (eV/atom): -5.70
SG: P6_3/mmc, No. 194

Ti3TlH | PBE | relaxed

The structure in POSCAR format:
```
Ti3TlH
1.0
2.645 1.527 6.908
-2.645 1.527 6.908
0.000 -3.054 6.908
Ti Tl H
6 2 2
Cartesian
-1.692 0.046 7.976
-0.886 -1.442 12.747
0.806 -1.488 7.976
-0.806 1.488 12.747
0.886 1.442 7.976
1.692 -0.046 12.747
0.000 0.000 3.486
0.000 0.000 17.237
0.000 0.000 6.891
0.000 0.000 13.832
```

Results
Electronic total energy (eV/atom): -5.84
SG: R-3, No. 148

Ti3TlH | PBE | relaxed

The structure in POSCAR format:
```
Ti3TlH
1.0
7.707 0.000 0.000
0.000 5.464 0.000
-1.249 0.000 7.249
Ti Tl H
12 4 4
Cartesian
0.185 0.633 1.366
-0.439 2.099 4.991
1.285 3.253 0.469
0.660 4.943 4.093
1.155 0.611 6.779
1.779 2.121 3.155
4.680 3.343 4.095
5.304 4.853 0.470
5.799 0.521 3.156
5.174 2.211 6.781
6.898 3.365 2.259
6.273 4.831 5.883
2.253 3.307 5.849
2.877 4.889 2.224
3.582 0.575 5.025
4.206 2.157 1.400
0.026 1.152 3.270
-0.599 1.580 6.894
7.058 3.884 0.355
6.433 4.312 3.980
```

Results
Electronic total energy (eV/atom): -5.94
SG: P2_1/c, No. 14

Ti3TlH | PBE | relaxed

The structure in POSCAR format:
```
Ti3TlH
1.0
3.136 0.000 0.000
-1.568 2.716 0.000
0.000 0.000 18.637
Ti Tl H
6 2 2
Cartesian
0.000 0.000 4.659
0.000 0.000 13.977
0.000 1.810 2.441
0.000 1.810 6.878
1.568 0.905 11.759
1.568 0.905 16.196
0.000 0.000 0.000
0.000 0.000 9.318
0.000 1.810 4.659
1.568 0.905 13.977
```

Results
Electronic total energy (eV/atom): -5.85
SG: P6_3/mmc, No. 194

Ti3TlH | PBE | relaxed

The structure in POSCAR format:
```
Ti3TlH
1.0
2.876 -4.501 0.000
2.876 4.501 0.000
0.000 0.000 5.749
Ti Tl H
6 2 2
Cartesian
2.876 2.309 4.312
1.416 0.000 0.000
1.416 0.000 2.875
4.337 0.000 0.000
4.337 0.000 2.875
2.876 -2.309 1.437
2.876 2.298 1.437
2.876 -2.298 4.312
2.876 0.416 4.312
2.876 -0.416 1.437
```

Results
Electronic total energy (eV/atom): -6.02
SG: Cmcm, No. 63

Ti3TlH | PBE | relaxed

The structure in POSCAR format:
```
Ti3TlH
1.0
4.779 0.000 0.000
-0.025 5.452 0.000
-0.105 -0.805 5.792
Ti Tl H
6 2 2
Cartesian
1.093 1.917 0.334
1.082 4.462 1.476
1.100 1.449 3.182
3.550 3.198 2.610
3.567 0.185 4.316
3.556 2.730 5.459
1.140 4.048 4.336
3.509 0.599 1.457
2.275 1.473 4.742
2.374 3.174 1.050
```

Results
Electronic total energy (eV/atom): -6.00
SG: P-1, No. 2